1.
! K3TlFe | the Alexandria database | GGA-PBE | optimized geometry; values from VASP
! - Energy: -9.59 eV/cell
! - Space-group type: No. 221
! - Energy relative to the elements: 0.906 eV per atom
! - V: 297.6 Å³ per cell
! - ΔE to the lowest computed polymorph: 0.0 kJ per mole of atoms
&SYSTEM
  ibrav = 0, nat = 5, ntyp = 3
/
ATOMIC_SPECIES
K 39.10 K.upf
Fe 55.84 Fe.upf
Tl 204.38 Tl.upf
ATOMIC_POSITIONS angstrom
K 0.0000 3.3383 0.0000
K 0.0000 0.0000 3.3383
K 3.3383 0.0000 0.0000
Fe 3.3383 3.3383 3.3383
Tl 0.0000 0.0000 0.0000
CELL_PARAMETERS angstrom
6.6766 0.0000 0.0000
0.0000 6.6766 0.0000
0.0000 0.0000 6.6766

2.
! CsSn3Pd | the Alexandria database | GGA-PBE | optimized geometry; values from VASP
! - Energy: -17.94 eV/cell
! - Space-group type: No. 221
! - Energy relative to the elements: 0.023 eV per atom
! - V: 161.4 Å³ per cell
! - ΔE to the lowest computed polymorph: 27.6 kJ per mole of atoms
&SYSTEM
  ibrav = 0, nat = 5, ntyp = 3
/
ATOMIC_SPECIES
Pd 106.42 Pd.upf
Cs 132.91 Cs.upf
Sn 118.71 Sn.upf
ATOMIC_POSITIONS angstrom
Pd 0.0000 0.0000 0.0000
Cs -3.1199 3.4964 -0.5233
Sn -2.6928 -0.3193 -0.2410
Sn -0.0281 1.7871 -2.0534
Sn -0.3990 2.0286 1.7710
CELL_PARAMETERS angstrom
-0.0563 3.5743 -4.1067
-5.3855 -0.6386 -0.4820
-0.7981 4.0572 3.5421